No. 1
KRb3Ba: relaxed, GGA-PBE. Values from VASP.

```
&SYSTEM
  ibrav = 0, nat = 5, ntyp = 3
/
ATOMIC_SPECIES
Rb 85.47 Rb.upf
K 39.10 K.upf
Ba 137.33 Ba.upf
ATOMIC_POSITIONS angstrom
Rb 0.0000 3.8543 0.0000
Rb 3.8543 0.0000 0.0000
K 0.0000 0.0000 0.0000
Ba 3.8543 3.8543 3.8543
Rb 0.0000 0.0000 3.8543
CELL_PARAMETERS angstrom
7.7087 0.0000 0.0000
0.0000 7.7087 0.0000
0.0000 0.0000 7.7087
```

Output
energy of formation from the pure elements = 0.30 eV per atom
spin magnetization = 0.00 μB/f.u.
E_tot = -0.0327 Ha/atom
E above lowest polymorph = 0 meV per atom

No. 2
K2RbBa2: relaxed, GGA-PBE. Values from VASP.

```
&SYSTEM
  ibrav = 0, nat = 5, ntyp = 3
/
ATOMIC_SPECIES
K 39.10 K.upf
Rb 85.47 Rb.upf
Ba 137.33 Ba.upf
ATOMIC_POSITIONS angstrom
K -6.6674 -2.7502 -4.9368
Rb 0.0000 0.0000 0.0000
Ba -2.3293 -1.5634 -3.6648
K -3.9036 -5.5670 -5.4918
Ba -8.2417 -6.7539 -6.7637
CELL_PARAMETERS angstrom
-3.4671 2.8996 -3.3666
2.0606 -2.7340 -4.4768
-9.1645 -8.4828 -2.5852
```

Output
energy of formation from the pure elements = 0.25 eV per atom
spin magnetization = 0.00 μB/f.u.
E_tot = -0.0422 Ha/atom
E above lowest polymorph = 207 meV per atom

No. 3
KRb14Ba: relaxed, GGA-PBE. Values from VASP.

```
&SYSTEM
  ibrav = 0, nat = 32, ntyp = 3
/
ATOMIC_SPECIES
Rb 85.47 Rb.upf
Ba 137.33 Ba.upf
K 39.10 K.upf
ATOMIC_POSITIONS angstrom
Rb 11.3061 -6.3294 -7.3743
Rb -2.4034 -3.4720 1.4867
Ba -0.2236 -6.7112 -9.0692
Rb 6.8248 -4.1993 -4.9617
Rb -0.5024 -6.2935 -4.0621
Rb -6.4724 -8.1903 2.0731
Rb -4.7917 -6.1528 -1.4212
Rb -2.9366 -10.4923 6.6949
K -7.1881 -3.3513 1.6347
Rb 7.7703 -4.0274 -11.9961
K 6.6894 -3.2161 3.2375
Rb 4.1549 -12.8215 -3.0815
Rb -1.9911 -10.3205 -0.3395
Rb -4.2865 -8.9551 -5.1468
Rb 3.4294 -7.8935 -5.8162
Rb -4.6903 -5.3551 -7.6985
Rb -2.2701 -7.3280 3.6656
Rb 5.3361 -8.2262 -1.2391
Rb 1.0804 -10.8908 3.6788
Rb 14.9543 -7.8140 -9.0019
Rb 7.1038 -7.1918 -8.9668
Rb 9.6254 -8.3669 -3.8800
Ba 5.0573 -7.8085 3.7680
Rb 9.5240 -9.1646 2.3974
Rb 3.7533 -3.6290 -8.9800
Rb -10.1206 -6.7057 3.7008
Rb 7.2371 -11.0477 -6.7879
Rb 0.6788 -1.6982 -2.2196
Rb 9.1202 -5.5646 -0.1544
Rb 1.4043 -6.6262 0.5151
Rb 13.2002 -8.4612 -0.7508
Rb -8.3665 -6.0585 -4.5504
CELL_PARAMETERS angstrom
5.8312 -1.3849 -15.0455
13.3787 -6.4322 6.4750
-14.3762 -6.7026 3.2694
```

Output
energy of formation from the pure elements = 0.10 eV per atom
spin magnetization = 0.00 μB/f.u.
E_tot = -0.0343 Ha/atom

No. 4
KRb2BaRe: relaxed, GGA-PBE. Values from VASP.

```
&SYSTEM
  ibrav = 0, nat = 5, ntyp = 4
/
ATOMIC_SPECIES
Ba 137.33 Ba.upf
Rb 85.47 Rb.upf
K 39.10 K.upf
Re 186.21 Re.upf
ATOMIC_POSITIONS angstrom
Ba 0.0000 0.0000 0.0000
Rb -3.6672 1.9398 1.0524
Rb 1.9598 1.9241 3.2826
K -0.9794 -3.1800 2.4487
Re -2.6868 0.6840 6.7837
CELL_PARAMETERS angstrom
-7.3344 3.8797 2.1048
-1.9588 -6.3600 4.8974
3.9197 3.8483 6.5653
```

Output
energy of formation from the pure elements = 1.91 eV per atom
spin magnetization = 6.00 μB/f.u.
E_tot = -0.0576 Ha/atom

No. 5
KRbBa2Rh: relaxed, GGA-PBE. Values from VASP.

```
&SYSTEM
  ibrav = 0, nat = 5, ntyp = 4
/
ATOMIC_SPECIES
K 39.10 K.upf
Rh 102.91 Rh.upf
Rb 85.47 Rb.upf
Ba 137.33 Ba.upf
ATOMIC_POSITIONS angstrom
K -2.3342 3.9861 3.1574
Rh 0.0000 0.0000 0.0000
Rb 1.3045 3.1780 1.0184
Ba -0.9856 -0.5024 2.8303
Ba -2.6531 1.3106 -0.6912
CELL_PARAMETERS angstrom
-5.3062 2.6211 -1.3825
-1.9711 -1.0048 5.6606
2.6090 6.3559 2.0368
```

Output
energy of formation from the pure elements = 0.07 eV per atom
spin magnetization = 0.00 μB/f.u.
E_tot = -0.0949 Ha/atom
E above lowest polymorph = 6 meV per atom

No. 6
KRbBa2Rh: relaxed, GGA-PBE. Values from VASP.

```
&SYSTEM
  ibrav = 0, nat = 5, ntyp = 4
/
ATOMIC_SPECIES
Ba 137.33 Ba.upf
Rh 102.91 Rh.upf
Rb 85.47 Rb.upf
K 39.10 K.upf
ATOMIC_POSITIONS angstrom
Ba 0.0000 3.0444 0.0000
Rh 0.0000 0.0000 0.0000
Rb 3.0444 3.0444 3.5228
Ba 3.0444 0.0000 0.0000
K 0.0000 0.0000 3.5228
CELL_PARAMETERS angstrom
6.0889 0.0000 0.0000
0.0000 6.0889 0.0000
0.0000 0.0000 7.0456
```

Output
energy of formation from the pure elements = 0.06 eV per atom
spin magnetization = 0.00 μB/f.u.
E_tot = -0.0951 Ha/atom
E above lowest polymorph = 0 meV per atom

No. 7
KRbBa2Ru: relaxed, GGA-PBE. Values from VASP.

```
&SYSTEM
  ibrav = 0, nat = 5, ntyp = 4
/
ATOMIC_SPECIES
Ba 137.33 Ba.upf
K 39.10 K.upf
Rb 85.47 Rb.upf
Ru 101.07 Ru.upf
ATOMIC_POSITIONS angstrom
Ba 3.3754 0.0000 0.0000
K 0.0000 2.9708 0.0000
Rb 0.0000 0.0000 0.0000
Ru 3.3754 2.9708 3.3754
Ba 0.0000 0.0000 3.3754
CELL_PARAMETERS angstrom
6.7507 0.0000 0.0000
0.0000 5.9417 0.0000
0.0000 0.0000 6.7507
```

Output
energy of formation from the pure elements = 1.68 eV per atom
spin magnetization = 0.95 μB/f.u.
E_tot = -0.0498 Ha/atom

No. 8
KRbBaSb2: relaxed, GGA-PBE. Values from VASP.

```
&SYSTEM
  ibrav = 0, nat = 5, ntyp = 4
/
ATOMIC_SPECIES
K 39.10 K.upf
Rb 85.47 Rb.upf
Sb 121.76 Sb.upf
Ba 137.33 Ba.upf
ATOMIC_POSITIONS angstrom
K 0.0000 0.0000 0.0000
Rb 0.0000 2.8420 0.0000
Sb 3.1210 0.0000 0.0000
Ba 3.1210 2.8420 3.1210
Sb 0.0000 0.0000 3.1210
CELL_PARAMETERS angstrom
6.2420 0.0000 0.0000
0.0000 5.6839 0.0000
0.0000 0.0000 6.2420
```

Output
uncorrected formation energy = -0.0171 eV per atom
spin magnetization = 0.00 μB/f.u.
E_tot = -0.0905 Ha/atom

No. 9
KRbBa2Se: relaxed, GGA-PBE. Values from VASP.

```
&SYSTEM
  ibrav = 0, nat = 5, ntyp = 4
/
ATOMIC_SPECIES
Se 78.96 Se.upf
Ba 137.33 Ba.upf
K 39.10 K.upf
Rb 85.47 Rb.upf
ATOMIC_POSITIONS angstrom
Se 0.0000 0.0000 0.0000
Ba -2.8756 0.9852 -1.1130
K -3.7798 -3.4866 -2.7349
Ba 0.6057 -1.4368 -2.8367
Rb -1.5099 -3.0350 1.2148
CELL_PARAMETERS angstrom
-5.7512 1.9703 -2.2259
1.2114 -2.8736 -5.6735
-3.0199 -6.0699 2.4296
```

Output
uncorrected formation energy = -0.6527 eV per atom
spin magnetization = 0.00 μB/f.u.
E_tot = -0.0930 Ha/atom
E above lowest polymorph = 0 meV per atom

No. 10
KRbBa2Se: relaxed, GGA-PBE. Values from VASP.

```
&SYSTEM
  ibrav = 0, nat = 5, ntyp = 4
/
ATOMIC_SPECIES
Se 78.96 Se.upf
Ba 137.33 Ba.upf
K 39.10 K.upf
Rb 85.47 Rb.upf
ATOMIC_POSITIONS angstrom
Se 0.0000 0.0000 0.0000
Ba 0.0000 3.2457 0.0000
K 0.0000 0.0000 3.5448
Ba 3.2457 0.0000 0.0000
Rb 3.2457 3.2457 3.5448
CELL_PARAMETERS angstrom
6.4913 0.0000 0.0000
0.0000 6.4913 0.0000
0.0000 0.0000 7.0897
```

Output
uncorrected formation energy = -0.6389 eV per atom
spin magnetization = 0.00 μB/f.u.
E_tot = -0.0925 Ha/atom
E above lowest polymorph = 14 meV per atom

No. 11
K2RbBaSe: relaxed, GGA-PBE. Values from VASP.

```
&SYSTEM
  ibrav = 0, nat = 5, ntyp = 4
/
ATOMIC_SPECIES
K 39.10 K.upf
Rb 85.47 Rb.upf
Se 78.96 Se.upf
Ba 137.33 Ba.upf
ATOMIC_POSITIONS angstrom
K -1.3448 0.8612 2.9933
K 0.4932 -3.1604 1.1309
Rb 2.0366 -1.4696 5.1831
Se 0.0000 0.0000 0.0000
Ba 2.8882 0.8296 1.0589
CELL_PARAMETERS angstrom
-2.6896 1.7224 5.9867
0.9865 -6.3208 2.2617
5.7763 1.6592 2.1177
```

Output
uncorrected formation energy = -0.6121 eV per atom
spin magnetization = 0.01 μB/f.u.
E_tot = -0.0855 Ha/atom

No. 12
K4Rb2BaSr2: relaxed, GGA-PBE. Values from VASP.

```
&SYSTEM
  ibrav = 0, nat = 9, ntyp = 4
/
ATOMIC_SPECIES
K 39.10 K.upf
Sr 87.62 Sr.upf
Ba 137.33 Ba.upf
Rb 85.47 Rb.upf
ATOMIC_POSITIONS angstrom
K 24.2110 6.5956 9.9615
Sr 13.7760 1.2594 6.4967
K 3.5916 -1.5151 2.3063
Sr 7.3932 -0.4795 3.8705
Ba 10.3035 2.8069 4.2393
K 16.8507 4.5905 6.9332
Rb 20.8130 3.1764 9.3920
Rb 31.3736 8.5469 12.9085
K 27.9561 5.1223 12.3310
CELL_PARAMETERS angstrom
-0.5639 -2.9856 3.3473
1.9442 -1.2870 -3.8731
31.7620 8.6527 13.0684
```

Output
energy of formation from the pure elements = 0.06 eV per atom
spin magnetization = 0.00 μB/f.u.
E_tot = -0.0454 Ha/atom

No. 13
K2Rb4Ba2Sr: relaxed, GGA-PBE. Values from VASP.

```
&SYSTEM
  ibrav = 0, nat = 9, ntyp = 4
/
ATOMIC_SPECIES
Ba 137.33 Ba.upf
Rb 85.47 Rb.upf
Sr 87.62 Sr.upf
K 39.10 K.upf
ATOMIC_POSITIONS angstrom
Ba 2.3134 1.3357 8.2096
Rb 2.3134 1.3357 31.7589
Rb 0.0000 0.0000 27.4829
Rb 2.3134 1.3357 3.7387
Sr 0.0000 0.0000 11.7165
Ba 2.3134 1.3357 15.2455
K 2.3134 1.3357 23.4032
Rb 0.0000 0.0000 19.2899
K 0.0000 0.0000 35.8613
CELL_PARAMETERS angstrom
4.6269 0.0000 0.0000
-2.3134 4.0070 0.0000
0.0000 0.0000 36.2315
```

Output
energy of formation from the pure elements = 0.06 eV per atom
spin magnetization = 0.02 μB/f.u.
E_tot = -0.0453 Ha/atom